The following is a DFT calculation (GGA-PBE) of Sr2CuTeS5 after structural relaxation.

Cell and atoms, written as POSCAR:
```
Sr2CuTeS5
1.0
-0.8881 -2.7514 -2.7119
8.0145 -2.7886 3.1018
-5.5912 -6.5925 8.5198
Te S Cu Sr
2 10 2 4
direct
0.2072 0.4145 0.0140
0.7928 0.5855 0.5140
0.9636 0.9272 0.5322
0.4987 0.9973 0.7753
0.7135 0.4270 0.1659
0.7051 0.4102 0.8616
0.2949 0.5898 0.3616
0.0364 0.0728 0.0322
0.5013 0.0027 0.2753
0.2865 0.5730 0.6659
0.6506 0.3011 0.5085
0.3494 0.6989 0.0085
0.4725 0.9450 0.4526
0.5275 0.0550 0.9526
0.8881 0.7763 0.1940
0.8780 0.7560 0.8198
0.1220 0.2440 0.3198
0.1119 0.2237 0.6940
```

Output
**Energy**: -4.4095 eV/atom
**Formation energy without anion corrections**: -21.6 kcal/mol of atoms
**Crystal system**: orthorhombic